Entry from Alexandria via LeMat-Bulk: a relaxed SrSbRu4 crystal (PBE).

```
SrSbRu4
1.0
0.000 3.787 3.787
3.787 0.000 3.787
3.787 3.787 0.000
Sr Sb Ru
1 1 4
Direct
0.000 0.000 0.000
0.250 0.250 0.250
0.129 0.624 0.624
0.624 0.129 0.624
0.624 0.624 0.129
0.624 0.624 0.624
```

---

Entry from Alexandria via LeMat-Bulk: a relaxed SrSb2Ru crystal (PBE).

```
SrSb2Ru
1.0
-2.174 3.055 3.931
2.174 -3.055 3.931
2.174 3.055 -3.931
Sr Sb Ru
1 2 1
Direct
0.000 0.000 0.000
0.303 0.803 0.500
0.697 0.197 0.500
0.500 0.500 0.000
```

---

Number 1: final energy -6.77 eV/atom. Number 2: final energy -4.98 eV/atom.